Density functional theory data (PBE-GGA) for a relaxed structure of BeS2I.

The value obtained for the magnetization is 0.0 μB per cell. The value obtained for the energy above the lowest structure with this stoichiometry is 1096 meV per atom. The total DFT energy (no corrections) comes out at -2.34 eV/atom.

a b c (Å): 4.704 4.704 4.704
angles (deg): 60.00 60.00 60.00
Fractional positions:
Be (0.000, 0.000, 0.000)
S (0.250, 0.250, 0.250)
S (0.750, 0.750, 0.750)
I (0.500, 0.500, 0.500)

Density functional theory data (PBE-GGA) for a relaxed structure of BeS2I.

The value obtained for the magnetization is 0.0 μB per cell. The value obtained for the energy above the lowest structure with this stoichiometry is 0 meV per atom. The total DFT energy (no corrections) comes out at -3.43 eV/atom.

a b c (Å): 7.765 7.765 7.765
angles (deg): 26.20 26.20 26.20
Fractional positions:
I (0.000, 0.000, 0.000)
S (0.115, 0.115, 0.115)
S (0.885, 0.885, 0.885)
Be (0.500, 0.500, 0.500)

Density functional theory data (PBE-GGA) for a relaxed structure of BeS6I2.

The value obtained for the magnetization is 0.0 μB per cell. The total DFT energy (no corrections) comes out at -3.47 eV/atom.

a b c (Å): 11.330 7.380 10.218
angles (deg): 145.33 132.99 67.18
Fractional positions:
S (0.674, 0.651, 0.872)
S (0.326, 0.349, 0.128)
S (0.357, 0.917, 0.859)
S (0.643, 0.083, 0.141)
S (0.732, 0.419, 0.957)
S (0.268, 0.581, 0.043)
Be (0.500, 0.000, 0.500)
I (0.732, 0.911, 0.451)
I (0.268, 0.089, 0.549)

Density functional theory data (PBE-GGA) for a relaxed structure of BeSI3.

The value obtained for the magnetization is 2.7 μB per cell. The value obtained for the energy above the lowest structure with this stoichiometry is 0 meV per atom. The total DFT energy (no corrections) comes out at -1.95 eV/atom.

a b c (Å): 5.286 5.286 5.286
angles (deg): 90.00 90.00 90.00
Fractional positions:
I (0.000, 0.500, 0.000)
I (0.000, 0.000, 0.500)
I (0.500, 0.000, 0.000)
Be (0.000, 0.000, 0.000)
S (0.500, 0.500, 0.500)

Density functional theory data (PBE-GGA) for a relaxed structure of Be2SI.

The value obtained for the magnetization is 0.0 μB per cell. The value obtained for the energy above the lowest structure with this stoichiometry is 0 meV per atom. The total DFT energy (no corrections) comes out at -3.38 eV/atom.

a b c (Å): 5.556 5.556 6.234
angles (deg): 63.53 63.53 90.00
Fractional positions:
Be (0.209, 0.625, 0.250)
Be (0.375, 0.459, 0.750)
Be (0.875, 0.791, 0.750)
Be (0.541, 0.125, 0.250)
I (0.750, 0.250, 0.500)
I (0.000, 0.000, 0.000)
S (0.500, 0.500, 0.000)
S (0.250, 0.750, 0.500)

Density functional theory data (PBE-GGA) for a relaxed structure of Be2SI.

The value obtained for the magnetization is 0.0 μB per cell. The value obtained for the energy above the lowest structure with this stoichiometry is 950 meV per atom. The total DFT energy (no corrections) comes out at -2.43 eV/atom.

a b c (Å): 4.552 4.552 4.552
angles (deg): 60.00 60.00 60.00
Fractional positions:
Be (0.250, 0.250, 0.250)
Be (0.750, 0.750, 0.750)
I (0.500, 0.500, 0.500)
S (0.000, 0.000, 0.000)

Density functional theory data (PBE-GGA) for a relaxed structure of BeSbSI2.

The value obtained for the magnetization is 0.0 μB per cell. The value obtained for the energy above the lowest structure with this stoichiometry is 0 meV per atom. The total DFT energy (no corrections) comes out at -2.42 eV/atom.

a b c (Å): 4.889 4.889 5.522
angles (deg): 90.00 90.00 90.00
Fractional positions:
Sb (0.000, 0.000, 0.500)
S (0.500, 0.500, 0.500)
Be (0.000, 0.000, 0.000)
I (0.500, 0.000, 0.000)
I (0.000, 0.500, 0.000)

Density functional theory data (PBE-GGA) for a relaxed structure of BeSbS2I.

The value obtained for the magnetization is 0.0 μB per cell. The total DFT energy (no corrections) comes out at -2.72 eV/atom.

a b c (Å): 4.957 4.957 6.274
angles (deg): 90.00 90.00 90.00
Fractional positions:
Be (0.500, 0.500, 0.500)
I (0.000, 0.000, 0.500)
Sb (0.000, 0.000, 0.000)
S (0.000, 0.500, 0.000)
S (0.500, 0.000, 0.000)

Density functional theory data (PBE-GGA) for a relaxed structure of BeSb2SI.

The value obtained for the magnetization is 0.0 μB per cell. The value obtained for the energy above the lowest structure with this stoichiometry is 0 meV per atom. The total DFT energy (no corrections) comes out at -2.93 eV/atom.

a b c (Å): 5.062 5.062 4.813
angles (deg): 90.00 90.00 90.00
Fractional positions:
S (0.500, 0.500, 0.500)
Sb (0.500, 0.000, 0.000)
Sb (0.000, 0.500, 0.000)
I (0.000, 0.000, 0.500)
Be (0.000, 0.000, 0.000)

Density functional theory data (PBE-GGA) for a relaxed structure of BeSeS2I.

The value obtained for the magnetization is 0.0 μB per cell. The total DFT energy (no corrections) comes out at -3.14 eV/atom.

a b c (Å): 4.098 8.741 4.098
angles (deg): 90.00 90.00 90.00
Fractional positions:
S (0.000, 0.000, 0.500)
S (0.500, 0.000, 0.000)
Se (0.500, 0.500, 0.500)
I (0.000, 0.500, 0.000)
Be (0.000, 0.000, 0.000)

Density functional theory data (PBE-GGA) for a relaxed structure of SrBeS2I.

The value obtained for the magnetization is 0.0 μB per cell. The total DFT energy (no corrections) comes out at -3.59 eV/atom.

a b c (Å): 4.426 6.502 4.426
angles (deg): 90.00 90.00 90.00
Fractional positions:
S (0.000, 0.000, 0.500)
S (0.500, 0.000, 0.000)
Sr (0.000, 0.500, 0.000)
Be (0.000, 0.000, 0.000)
I (0.500, 0.500, 0.500)

Density functional theory data (PBE-GGA) for a relaxed structure of TaBeSI2.

The value obtained for the magnetization is 1.1 μB per cell. The total DFT energy (no corrections) comes out at -3.38 eV/atom.

a b c (Å): 4.892 4.915 4.892
angles (deg): 90.00 90.00 90.00
Fractional positions:
Be (0.000, 0.000, 0.000)
S (0.500, 0.500, 0.500)
I (0.500, 0.000, 0.000)
I (0.000, 0.000, 0.500)
Ta (0.000, 0.500, 0.000)